Compound: BiAsIrBr2
Source: Alexandria
Functional: GGA-PBE
Structure: optimized geometry

Values from the calculation:
The calculation puts the uncorrected formation energy at 0.376 eV per atom. The total magnetic moment comes out at 0.0 μB per formula unit. The value obtained for the energy above the lowest structure with this stoichiometry is 0.00 eV/f.u. The density of states at the Fermi level is 4.9 states/eV per cell.

a b c (Å): 5.1753 5.1753 4.7771
angles (deg): 90.00 90.00 90.00
With the nearest neighbours (Å) after each atom.
Fractional positions:
Bi 0.0000 0.0000 0.0000  8 Br 3.52, 4 As 3.66
As 0.5000 0.5000 0.0000  2 Ir 2.39
Ir 0.5000 0.5000 0.5000  2 As 2.39, 4 Br 2.59
Br 0.0000 0.5000 0.5000  2 Ir 2.59
Br 0.5000 0.0000 0.5000  2 Ir 2.59